Computed, not measured: an optimized crystal structure of La2CoHgO at the PBE with a Hubbard U level of DFT.

Geometry as POSCAR:
```
La2CoHgO
1.0
5.870 0.000 0.000
0.000 5.870 0.000
0.000 0.000 4.731
La Co Hg O
2 1 1 1
direct
0.000 0.500 0.000
0.500 0.000 0.000
0.000 0.000 0.500
0.000 0.000 0.000
0.500 0.500 0.500
```

## Properties
D(E_F), states/eV/f.u.: 4.6
E, eV per atom: -3.537
Theoretical density, Mg/m³: 5.64
Space group: P4/mmm